Cs3CrH | PBE | relaxed

Lattice parameters (Å, degrees): 6.231 6.231 6.231 90.00 90.00 90.00
Positions (direct):
Cs 0.000 0.000 0.500
Cs 0.000 0.500 0.000
Cs 0.500 0.000 0.000
Cr 0.500 0.500 0.500
H 0.000 0.000 0.000

Energy relative to the lowest polymorph listed for this composition in meV/atom: 0
DOS at the Fermi energy in states/eV/atom: 0.475
Total moment in μB/f.u.: 5.9
Symmetry: Pm-3m, No. 221